The following is a GGA+U calculation of crystalline Mn2Tl2VO6 at its relaxed geometry, from Alexandria via LeMat-Bulk.

The structure in CIF format:
```
data_Mn2Tl2VO6
_space_group_name_H-M_alt 'C 1 2/m 1'
_space_group_IT_number 12
_space_group_name_Hall '-C 2y'
_cell_length_a 5.635
_cell_length_b 8.795
_cell_length_c 6.933
_cell_angle_alpha 90.00
_cell_angle_beta 108.85
_cell_angle_gamma 90.00
loop_
_atom_site_label
_atom_site_type_symbol
_atom_site_fract_x
_atom_site_fract_y
_atom_site_fract_z
Mn1 Mn 0.000 0.168 0.000
Tl1 Tl 0.000 0.322 0.500
V1 V 0.000 0.500 0.000
O1 O 0.196 0.335 0.165
O2 O 0.228 0.000 0.140
```

VASP energy = -144.38 eV for the cell shown
total magnetization = 18.00 μB/cell
calculated density = 6.80 g/cm³